Here is crystalline Ga2FeTeO8 at its relaxed geometry from Alexandria via LeMat-Bulk. Energies are from GGA+U.

Calculated total energy ... -5.818 eV per atom
Magnetization ... 2.02 μB per formula unit
Space group ... Cmmm
V ... 127.1 Å³/cell

abc: 4.6060 4.6060 5.9987
angles: 90.00 90.00 92.99
Sites, in units of the cell vectors:
1 Ga 0.0000 0.0000 0.2413
2 Ga 0.0000 0.0000 0.7587
3 Fe 0.5000 0.5000 0.0000
4 Te 0.5000 0.5000 0.5000
5 O 0.1928 0.1928 0.5000
6 O 0.2014 0.2014 0.0000
7 O 0.3127 0.6873 0.2487
8 O 0.3127 0.6873 0.7513
9 O 0.6873 0.3127 0.2487
10 O 0.6873 0.3127 0.7513
11 O 0.7986 0.7986 0.0000
12 O 0.8072 0.8072 0.5000